# SrSi2SnPt, optimized geometry, DFT PBE
data_SrSi2SnPt
_chemical_formula_sum 'Sr1 Si2 Sn1 Pt1'
_cell_length_a 6.129
_cell_length_b 6.129
_cell_length_c 6.129
_cell_angle_alpha 136.53
_cell_angle_beta 136.53
_cell_angle_gamma 63.16
_symmetry_space_group_name_H-M 'P 1'
_symmetry_Int_Tables_number 1
_symmetry_space_group_name_Hall 'P 1'
loop_
_atom_site_label
_atom_site_type_symbol
_atom_site_fract_x
_atom_site_fract_y
_atom_site_fract_z
_atom_site_occupancy
Si1 Si 0.749 0.249 0.500 1
Sr1 Sr 0.003 0.003 0.000 1
Sn1 Sn 0.401 0.401 0.000 1
Pt1 Pt 0.659 0.659 0.000 1
Si2 Si 0.249 0.749 0.500 1
# Crystal system   tetragonal
# Space-group type   I4mm
# Total DFT energy (no corrections)   -0.18717 Ha/atom
# Spin magnetization   0.00 μB/cell


# SrSiPt, optimized geometry, DFT PBE
data_SrSiPt
_chemical_formula_sum 'Sr1 Si1 Pt1'
_cell_length_a 4.702
_cell_length_b 4.702
_cell_length_c 4.702
_cell_angle_alpha 60.00
_cell_angle_beta 60.00
_cell_angle_gamma 60.00
_symmetry_space_group_name_H-M 'P 1'
_symmetry_Int_Tables_number 1
_symmetry_space_group_name_Hall 'P 1'
loop_
_atom_site_label
_atom_site_type_symbol
_atom_site_fract_x
_atom_site_fract_y
_atom_site_fract_z
_atom_site_occupancy
Si1 Si 0.250 0.250 0.250 1
Sr1 Sr 0.750 0.750 0.750 1
Pt1 Pt 0.000 0.000 0.000 1
# Crystal system   cubic
# Space-group type   F-43m
# Total DFT energy (no corrections)   -0.17062 Ha/atom
# Spin magnetization   0.01 μB/cell